Li2RePb after structural relaxation, computed with PBE-GGA.

a b c (Å): 5.1758 5.1758 5.1758
angles (deg): 134.81 134.81 65.83
Site moments in Bohr magnetons follow the coordinates.
Fractional coordinates of all 4 atoms:
1 Pb 0.2500 0.7500 0.5000  -0.02
2 Li 0.5000 0.5000 0.0000  -0.01
3 Li 0.0000 0.0000 0.0000  -0.01
4 Re 0.7500 0.2500 0.5000  0.76

Output
Volume in Å³/f.u.: 68.7
Total DFT energy (no corrections) in eV per atom: -4.448


SrZrAl2 after structural relaxation, computed with PBE-GGA.

a b c (Å): 5.2608 3.2284 5.4472
angles (deg): 90.00 90.00 90.00
Fractional coordinates of all 4 atoms:
1 Zr 0.5000 0.6250 0.8491
2 Sr 0.0000 0.6250 0.4241
3 Al 0.5000 0.1250 0.3092
4 Al 0.0000 0.1250 0.9176

Output
Volume in Å³/f.u.: 92.5
ΔE to the lowest computed polymorph in meV per atom: 180
Total DFT energy (no corrections) in eV per atom: -4.466


YPuPd3 after structural relaxation, computed with PBE-GGA.

a b c (Å): 5.5852 8.6408 10.7598
angles (deg): 125.50 90.00 90.00
Site moments in Bohr magnetons follow the coordinates.
Fractional coordinates of all 20 atoms:
1 Pd 0.7550 0.9094 0.0303  -0.05
2 Pd 0.7450 0.4094 0.5303  -0.05
3 Pd 0.4988 0.2503 0.2479  -0.02
4 Pd 0.5012 0.7497 0.7521  -0.02
5 Pd 0.7876 0.0926 0.6331  0.00
6 Pd 0.0012 0.7503 0.7479  -0.02
7 Pd 0.2450 0.0906 0.9697  -0.05
8 Pd 0.9988 0.2497 0.2521  -0.02
9 Pd 0.7124 0.5926 0.1331  0.00
10 Pd 0.2876 0.4074 0.8669  0.00
11 Pd 0.2124 0.9074 0.3669  0.00
12 Pd 0.2550 0.5906 0.4697  -0.05
13 Y 0.7248 0.9992 0.3336  0.07
14 Y 0.7752 0.4992 0.8336  0.07
15 Y 0.2248 0.5008 0.1664  0.07
16 Y 0.2752 0.0008 0.6664  0.07
17 Pu 0.7449 0.1642 0.9446  5.20
18 Pu 0.2449 0.3358 0.5554  5.20
19 Pu 0.7551 0.6642 0.4446  5.20
20 Pu 0.2551 0.8358 0.0554  5.20

Output
Volume in Å³/f.u.: 105.7
Total DFT energy (no corrections) in eV per atom: -7.887